Compound: Cu7As
Source: Alexandria via LeMat-Bulk
Functional: GGA-PBE
Structure: optimized geometry

Properties
ρ: 8.512 g cm⁻³
energy of formation: 0.05 eV/atom
total DFT energy (no corrections): -32.90 eV/cell
ΔE to the lowest computed polymorph: 0 meV per atom

Cell: 4.137 4.137 7.247 Å, 73.42 73.42 60.00°
Fractional coordinates of all 8 atoms:
Cu1 0.244 0.244 0.269
Cu2 0.500 0.500 0.500
As1 0.000 0.000 0.000
Cu3 0.756 0.756 0.731
Cu4 0.124 0.124 0.627
Cu5 0.876 0.876 0.373
Cu6 0.624 0.624 0.129
Cu7 0.376 0.376 0.871